1.
First-principles (GGA-PBE) data for an optimized crystal structure of ZnAuNO, as listed in OQMD.

Cell: 3.356 5.136 6.182 Å, 90.00 90.00 90.00°
Positions (direct):
1 Au 0.000 0.014 0.590
2 Au 0.000 0.514 0.410
3 O 0.500 0.874 0.834
4 O 0.500 0.374 0.166
5 Zn 0.500 0.490 0.867
6 Zn 0.500 0.990 0.133
7 N 0.000 0.875 0.278
8 N 0.000 0.375 0.722

Space-group type: Pmc2_1
Excess energy over the best structure of this formula in the dataset in meV per atom: 69.9
VASP energy in eV per atom: -4.17

=====

2.
First-principles (GGA-PBE) data for an optimized crystal structure of ZnAuNO, as listed in OQMD.

Cell: 4.384 6.626 7.563 Å, 90.00 90.00 90.00°
Positions (direct):
1 Au 0.551 0.497 0.643
2 Au 0.051 0.003 0.643
3 Au 0.051 0.503 0.357
4 Au 0.551 0.997 0.357
5 Zn 0.050 0.612 0.907
6 Zn 0.550 0.388 0.093
7 Zn 0.050 0.112 0.093
8 Zn 0.550 0.888 0.907
9 N 0.051 0.914 0.897
10 N 0.551 0.586 0.897
11 N 0.051 0.414 0.103
12 N 0.551 0.086 0.103
13 O 0.551 0.979 0.638
14 O 0.051 0.521 0.638
15 O 0.551 0.479 0.362
16 O 0.051 0.021 0.362

Space-group type: Pbcm
Excess energy over the best structure of this formula in the dataset in meV per atom: 103.7
VASP energy in eV per atom: -4.14